A relaxed SrV2Hg crystal. Source: Alexandria via LeMat-Bulk, functional PBE.

a b c (Å): 10.803 10.803 10.803
angles (deg): 156.37 156.37 33.66
Sites, in units of the cell vectors:
1 Sr 0.000 0.000 0.000
2 Sr 0.750 0.250 0.500
3 V 0.359 0.625 0.234
4 V 0.375 0.609 0.734
5 V 0.391 0.125 0.766
6 V 0.875 0.641 0.266
7 Hg 0.250 0.750 0.500
8 Hg 0.500 0.500 0.000

- Uncorrected energy: -34.6 eV for the cell shown
- Magnetic moment: 0.000 μB per atom
- Formation energy: 280 kJ/mol of formula units

***

A relaxed SrVHg2 crystal. Source: Alexandria via LeMat-Bulk, functional PBE.

a b c (Å): 10.234 10.234 10.234
angles (deg): 150.85 150.85 41.69
Sites, in units of the cell vectors:
1 Sr 0.000 0.000 0.000
2 Sr 0.750 0.250 0.500
3 V 0.250 0.750 0.500
4 V 0.500 0.500 0.000
5 Hg 0.240 0.625 0.115
6 Hg 0.375 0.490 0.615
7 Hg 0.510 0.125 0.885
8 Hg 0.875 0.760 0.385

- Uncorrected energy: -20.2 eV for the cell shown
- Magnetic moment: 0.931 μB per atom
- Formation energy: 127 kJ/mol of formula units